# PBE with a Hubbard U ScNiIrO6, relaxed
data_ScNiIrO6
_symmetry_space_group_name_H-M 'P -3 1 c'
_symmetry_Int_Tables_number 163
_symmetry_space_group_name_Hall '-P 3 2c'
_cell_length_a 5.1812
_cell_length_b 5.1812
_cell_length_c 8.7141
_cell_angle_alpha 90.00
_cell_angle_beta 90.00
_cell_angle_gamma 120.00
loop_
_atom_site_label
_atom_site_type_symbol
_atom_site_fract_x
_atom_site_fract_y
_atom_site_fract_z
Sc1 Sc 0.3333 0.6667 0.2500
Ni1 Ni 0.0000 0.0000 0.0000
Ir1 Ir 0.3333 0.6667 0.7500
O1 O 0.0242 0.3569 0.6265
# Calculated density in g cm⁻³: 6.42
# E in eV per atom: -6.654
# M_tot in μB/atom: 0.025